First-principles (PBE) data for an optimized crystal structure of Na2Fe2Ru, as listed in Alexandria via LeMat-Bulk.

Lattice parameters (Å, degrees): 5.9933 5.9933 5.1293 90.00 90.00 90.00
Last column: nearest neighbours and their distance in Å.
Positions (direct):
Na (0.1859, 0.3141, 0.0000)  6 Fe 3.00-3.20, 5 Na 3.09-3.15
Na (0.3141, 0.8141, 0.0000)  6 Fe 3.00-3.20, 5 Na 3.09-3.15
Na (0.6859, 0.1859, 0.0000)  6 Fe 3.00-3.20, 5 Na 3.09-3.15
Na (0.8141, 0.6859, 0.0000)  6 Fe 3.00-3.20, 5 Na 3.09-3.15
Fe (0.1297, 0.6297, 0.5000)  1 Fe 2.20, 2 Ru 2.35
Fe (0.3703, 0.1297, 0.5000)  1 Fe 2.20, 2 Ru 2.35
Fe (0.6297, 0.8703, 0.5000)  1 Fe 2.20, 2 Ru 2.35
Fe (0.8703, 0.3703, 0.5000)  1 Fe 2.20, 2 Ru 2.35
Ru (0.0000, 0.0000, 0.5000)  4 Fe 2.35
Ru (0.5000, 0.5000, 0.5000)  4 Fe 2.35

Summary:
Crystal system: tetragonal
DFT total energy in Ry per atom: -0.3701
Volume in Å³/atom: 18.42
Calculated formation energy in eV/atom: 0.7320
Fermi-level density of states in states/eV/cell: 13.13

=====

First-principles (PBE) data for an optimized crystal structure of Cs2NpSnBr6, as listed in Alexandria via LeMat-Bulk.

Lattice parameters (Å, degrees): 8.4715 11.9185 8.4268 90.00 90.00 90.00
Last column: nearest neighbours and their distance in Å.
Positions (direct):
Cs (0.2500, 0.0057, 0.2496)  12 Br 4.15-4.29
Cs (0.2500, 0.4943, 0.2496)  12 Br 4.15-4.29
Cs (0.7500, 0.5057, 0.7504)  12 Br 4.15-4.29
Cs (0.7500, 0.9943, 0.7504)  12 Br 4.15-4.29
Np (0.2500, 0.2500, 0.7487)  6 Br 2.91
Np (0.7500, 0.7500, 0.2513)  6 Br 2.91
Sn (0.2500, 0.7500, 0.7512)  6 Br 3.05-3.06
Sn (0.7500, 0.2500, 0.2488)  6 Br 3.05-3.06
Br (0.0071, 0.2500, 0.9935)  1 Np 2.91, 1 Sn 3.06
Br (0.0078, 0.2500, 0.5034)  1 Np 2.91, 1 Sn 3.06
Br (0.2500, 0.0055, 0.7496)  1 Np 2.91, 1 Sn 3.05
Br (0.2500, 0.4945, 0.7496)  1 Np 2.91, 1 Sn 3.05
Br (0.4922, 0.2500, 0.5034)  1 Np 2.91, 1 Sn 3.06
Br (0.4929, 0.2500, 0.9935)  1 Np 2.91, 1 Sn 3.06
Br (0.5071, 0.7500, 0.0065)  1 Np 2.91, 1 Sn 3.06
Br (0.5078, 0.7500, 0.4966)  1 Np 2.91, 1 Sn 3.06
Br (0.7500, 0.5055, 0.2504)  1 Np 2.91, 1 Sn 3.05
Br (0.7500, 0.9945, 0.2504)  1 Np 2.91, 1 Sn 3.05
Br (0.9922, 0.7500, 0.4966)  1 Np 2.91, 1 Sn 3.06
Br (0.9929, 0.7500, 0.0065)  1 Np 2.91, 1 Sn 3.06

Summary:
Crystal system: orthorhombic
DFT total energy in Ry per atom: -0.3033
Volume in Å³/atom: 42.54
Formation energy (no corrections) in eV/atom: -1.2574
Fermi-level density of states in states/eV/cell: 24.97

=====

First-principles (PBE) data for an optimized crystal structure of Li2NpPbO6, as listed in Alexandria via LeMat-Bulk.

Lattice parameters (Å, degrees): 5.8362 5.8362 5.8362 55.35 55.35 55.35
Last column: nearest neighbours and their distance in Å.
Positions (direct):
Li (0.0000, 0.0000, 0.0000)  3 O 2.01
Li (0.4865, 0.4865, 0.4865)  3 O 2.02
Np (0.7774, 0.7774, 0.7774)  6 O 2.07
Pb (0.2740, 0.2740, 0.2740)  6 O 2.19-2.24
O (0.0392, 0.6772, 0.3930)  1 Li 2.01, 1 Np 2.07, 1 Pb 2.24
O (0.1628, 0.5553, 0.8699)  1 Li 2.02, 1 Np 2.07, 1 Pb 2.19
O (0.3930, 0.0392, 0.6772)  1 Li 2.01, 1 Np 2.07, 1 Pb 2.24
O (0.5553, 0.8699, 0.1628)  1 Li 2.02, 1 Np 2.07, 1 Pb 2.19
O (0.6772, 0.3930, 0.0392)  1 Li 2.01, 1 Np 2.07, 1 Pb 2.24
O (0.8699, 0.1628, 0.5553)  1 Li 2.02, 1 Np 2.07, 1 Pb 2.19

Summary:
Crystal system: trigonal
DFT total energy in Ry per atom: -0.5160
Volume in Å³/atom: 12.54
Formation energy (no corrections) in eV/atom: -1.9984
Fermi-level density of states in states/eV/cell: 3.77

=====

Number 1: M_tot 4.84 μB per formula unit. Number 2: M_tot 5.01 μB per formula unit. Number 3: M_tot 1.00 μB per formula unit.